BaMnO3: optimized geometry, GGA+U.

Summary:
The calculation puts the total energy at -25.4 eV per cell.

a = 4.5419 Å, b = 4.5419 Å, c = 4.5419 Å
α = 90.00°, β = 90.00°, γ = 90.00°
Space group Pm-3m (No. 221)
One atom of each set of equivalent atoms:
Ba: 0.0000 0.0000 0.0000 x1
Mn: 0.5000 0.5000 0.5000 x1
O: 0.0000 0.0000 0.5000 x3